14
Lattice="-0.686 1.122 -2.206 3.707 -4.219 -3.298 -5.603 -3.628 1.392" Properties=species:S:1:pos:R:3 comment="FeNi8H5 GGA-PBE relaxed" e_tot_ev_per_atom=-5.142 crystal_system=monoclinic sg="No. 12" pbc="T T T"
H -3.900 -2.115 0.137
H -1.496 -2.109 -2.102
Ni 1.969 -4.027 -2.660
Ni -2.237 -2.197 -0.422
Fe 1.510 -1.549 -2.752
H -1.087 -4.615 -2.009
Ni -2.502 -3.620 -2.558
Ni -0.081 -3.104 -1.553
Ni -0.563 -0.604 -1.627
H 1.317 -4.610 -4.249
Ni -0.346 -4.528 -3.690
H -6.288 -2.506 -0.814
Ni -2.020 -6.120 -2.484
Ni -4.551 -2.697 -1.451

9
Lattice="2.618 0.000 0.002 -1.309 2.267 -0.002 -0.002 0.001 10.926" Properties=species:S:1:pos:R:3 comment="Fe3Ni2H4 GGA-PBE relaxed" e_tot_ev_per_atom=-5.606 crystal_system=trigonal sg="No. 164" pbc="T T T"
H -1.308 2.266 7.609
Ni -0.002 1.512 2.207
Fe 0.000 0.000 0.000
Fe 0.002 1.510 6.522
H 1.308 0.756 1.134
H -0.002 1.512 9.792
Ni 1.308 0.756 8.719
H 2.615 0.002 3.317
Fe 1.304 0.758 4.404

10
Lattice="3.377 0.000 1.629 1.689 4.176 0.814 -0.125 0.000 4.575" Properties=species:S:1:pos:R:3 comment="FeNi4H5 GGA-PBE relaxed" e_tot_ev_per_atom=-4.860 crystal_system=tetragonal sg="No. 87" pbc="T T T"
Ni 0.963 0.814 2.328
H 2.643 0.864 3.161
Fe 0.003 0.000 0.002
Ni 3.027 2.497 2.364
H 2.305 3.312 3.861
Ni 3.984 3.362 4.694
H 3.631 1.699 5.428
H 1.691 0.000 0.816
H 1.317 2.477 1.594
Ni 1.920 1.678 4.658

Number 1 is which compound? FeNi8H5